[1]
Crystalline CaBeRe2 at its relaxed geometry, computed with PBE.

## Properties
- Formation enthalpy at 0 K: 0.42 eV per atom
- Space-group type: Immm (71)

CIF file:
```
data_CaBeRe2
_cell_length_a 5.6898
_cell_length_b 5.6898
_cell_length_c 5.6898
_cell_angle_alpha 152.99
_cell_angle_beta 131.00
_cell_angle_gamma 56.84
_symmetry_space_group_name_H-M 'P 1'
_symmetry_Int_Tables_number 1
loop_
_symmetry_equiv_pos_as_xyz
'x,y,z'
loop_
_atom_site_label
_atom_site_fract_x
_atom_site_fract_y
_atom_site_fract_z
_atom_site_occupancy
Ca1 0.0000 0.0000 0.0000 1
Be1 0.5000 0.5000 0.0000 1
Re1 0.2939 0.7939 0.5000 1
Re2 0.7061 0.2061 0.5000 1
```

---

[2]
Crystalline ReOs2Se at its relaxed geometry, computed with PBE.

## Properties
- Space-group type: R-3m (166)
- Energy relative to the elements, uncorrected: 0.42 eV per atom

CIF file:
```
data_ReOs2Se
_cell_length_a 8.7488
_cell_length_b 8.7488
_cell_length_c 8.7488
_cell_angle_alpha 18.69
_cell_angle_beta 18.69
_cell_angle_gamma 18.69
_symmetry_space_group_name_H-M 'P 1'
_symmetry_Int_Tables_number 1
loop_
_symmetry_equiv_pos_as_xyz
'x,y,z'
loop_
_atom_site_label
_atom_site_fract_x
_atom_site_fract_y
_atom_site_fract_z
_atom_site_occupancy
Re1 0.0000 0.0000 0.0000 1
Os1 0.2498 0.2498 0.2498 1
Os2 0.7502 0.7502 0.7502 1
Se1 0.5000 0.5000 0.5000 1
```

---

[3]
Crystalline LiReRu2 at its relaxed geometry, computed with PBE.

## Properties
- Formation enthalpy at 0 K: 0.13 eV per atom
- Polymorph energy (0 for the lowest one): 117 meV/atom
- Space-group type: P4/mmm (123)

CIF file:
```
data_LiReRu2
_cell_length_a 2.9907
_cell_length_b 2.9907
_cell_length_c 5.9337
_cell_angle_alpha 90.00
_cell_angle_beta 90.00
_cell_angle_gamma 90.00
_symmetry_space_group_name_H-M 'P 1'
_symmetry_Int_Tables_number 1
loop_
_symmetry_equiv_pos_as_xyz
'x,y,z'
loop_
_atom_site_label
_atom_site_fract_x
_atom_site_fract_y
_atom_site_fract_z
_atom_site_occupancy
Li1 0.0000 0.0000 0.0000 1
Re1 0.0000 0.0000 0.5000 1
Ru1 0.5000 0.5000 0.2320 1
Ru2 0.5000 0.5000 0.7680 1
```